1 | The following is a DFT calculation (PBE) of a relaxed Tb2SmTc crystal.

The structure in POSCAR format:
```
Tb2SmTc
1.0
-3.187 5.400 -1.015
0.555 -1.059 -7.371
-7.988 -4.701 0.074
Sm Tb Tc
4 8 4
direct
0.371 0.457 0.750 Sm
0.129 0.957 0.750 Sm
0.871 0.043 0.250 Sm
0.629 0.543 0.250 Sm
0.839 0.324 0.936 Tb
0.161 0.676 0.436 Tb
0.161 0.676 0.064 Tb
0.839 0.324 0.564 Tb
0.661 0.824 0.564 Tb
0.339 0.176 0.436 Tb
0.339 0.176 0.064 Tb
0.661 0.824 0.936 Tb
0.042 0.387 0.250 Tc
0.542 0.113 0.750 Tc
0.458 0.887 0.250 Tc
0.958 0.613 0.750 Tc
```

Properties
Crystal system: orthorhombic
Theoretical density in Mg/m³: 8.56
Total moment in μB/f.u.: 0.000

2 | The following is a DFT calculation (PBE) of a relaxed Tb2SmTc crystal.

The structure in POSCAR format:
```
Tb2SmTc
1.0
-2.705 -1.909 -0.924
-1.375 -2.226 2.230
-8.184 6.515 4.106
Tc Tb Sm
1 2 1
direct
0.500 0.500 0.500 Tc
0.106 0.106 0.683 Tb
0.894 0.894 0.317 Tb
0.000 0.000 0.000 Sm
```

Properties
Crystal system: trigonal
Theoretical density in Mg/m³: 8.31
Total moment in μB/f.u.: 0.000

3 | The following is a DFT calculation (PBE) of a relaxed Tb2SmTc crystal.

The structure in POSCAR format:
```
Tb2SmTc
1.0
3.467 0.000 0.000
0.000 3.467 0.000
0.000 0.000 9.045
Sm Tc Tb
1 1 2
direct
0.500 0.500 0.500 Sm
0.500 0.500 0.000 Tc
0.000 0.000 0.817 Tb
0.000 0.000 0.183 Tb
```

Properties
Crystal system: tetragonal
Theoretical density in Mg/m³: 8.65
Total moment in μB/f.u.: 0.000

Computed stability ranking, most favorable first: 1, 3, 2

1 | The following is a DFT calculation (PBE) of a relaxed Tb3SmTc crystal.

The structure in POSCAR format:
```
Tb3SmTc
1.0
3.887 0.000 0.639
1.844 6.050 0.925
-0.001 0.020 12.156
Tc Sm Tb
2 2 6
direct
0.789 0.274 0.148 Tc
0.425 0.392 0.758 Tc
0.226 0.542 0.005 Sm
0.113 0.484 0.289 Sm
0.099 0.181 0.621 Tb
0.788 0.038 0.386 Tb
0.759 0.723 0.759 Tb
0.452 0.947 0.149 Tb
0.426 0.624 0.525 Tb
0.983 0.133 0.901 Tb
```

Properties
Crystal system: monoclinic
Theoretical density in Mg/m³: 8.43
Total moment in μB/f.u.: 0.000

2 | The following is a DFT calculation (PBE) of a relaxed Tb3SmTc crystal.

The structure in POSCAR format:
```
Tb3SmTc
1.0
-2.616 0.261 -4.720
-2.239 -4.819 0.975
-4.163 2.428 2.442
Tc Tb Sm
1 3 1
direct
0.000 0.000 0.000 Tc
0.500 0.000 0.000 Tb
0.000 0.500 0.000 Tb
0.000 0.000 0.500 Tb
0.500 0.500 0.500 Sm
```

Properties
Crystal system: cubic
Theoretical density in Mg/m³: 7.64
Total moment in μB/f.u.: 0.434

Computed stability ranking, most favorable first: 1, 2

1 | The following is a DFT calculation (PBE) of a relaxed Tb2SmTh crystal.

The structure in POSCAR format:
```
Tb2SmTh
1.0
-1.533 2.396 -4.155
-4.492 -2.335 0.311
-1.779 3.801 2.848
Sm Tb Th
1 2 1
direct
0.500 0.000 0.000 Sm
0.000 0.500 0.000 Tb
0.000 0.000 0.500 Tb
0.500 0.500 0.500 Th
```

Properties
Crystal system: tetragonal
Theoretical density in Mg/m³: 8.98
Total moment in μB/f.u.: 0.000

2 | The following is a DFT calculation (PBE) of a relaxed Tb2SmTh crystal.

The structure in POSCAR format:
```
Tb2SmTh
1.0
-3.238 1.317 0.872
-2.821 -0.571 -2.167
-4.443 -9.496 5.291
Tb Sm Th
2 1 1
direct
0.081 0.081 0.756 Tb
0.252 0.252 0.244 Tb
0.500 0.500 0.499 Sm
0.666 0.666 0.001 Th
```

Properties
Crystal system: trigonal
Theoretical density in Mg/m³: 8.95
Total moment in μB/f.u.: 0.001

3 | The following is a DFT calculation (PBE) of a relaxed Tb2SmTh crystal.

The structure in POSCAR format:
```
Tb2SmTh
1.0
-3.185 1.623 0.550
-0.870 0.388 -6.172
-2.010 -11.877 -0.459
Tb Th Sm
4 2 2
direct
0.752 0.469 0.545 Tb
0.761 0.636 0.057 Tb
0.252 0.969 0.545 Tb
0.261 0.136 0.057 Tb
0.507 0.802 0.301 Th
0.006 0.302 0.301 Th
0.506 0.303 0.801 Sm
0.007 0.802 0.801 Sm
```

Properties
Crystal system: monoclinic
Theoretical density in Mg/m³: 8.96
Total moment in μB/f.u.: 0.000

4 | The following is a DFT calculation (PBE) of a relaxed Tb2SmTh crystal.

The structure in POSCAR format:
```
Tb2SmTh
1.0
-3.055 0.999 1.583
-0.346 -3.279 1.402
5.210 2.953 8.193
Tb Sm Th
2 1 1
direct
0.000 0.000 0.758 Tb
0.000 0.000 0.242 Tb
0.500 0.500 0.500 Sm
0.500 0.500 0.000 Th
```

Properties
Crystal system: tetragonal
Theoretical density in Mg/m³: 8.93
Total moment in μB/f.u.: 0.000

Computed stability ranking, most favorable first: 3, 2, 4, 1

1 | The following is a DFT calculation (PBE) of a relaxed Tb7SmTh3 crystal.

The structure in POSCAR format:
```
Tb7SmTh3
1.0
6.586 0.717 -1.085
0.134 6.448 0.377
-0.373 0.593 8.657
Th Tb Sm
3 7 1
direct
0.500 0.000 0.000 Th
0.051 0.825 0.164 Th
0.949 0.175 0.836 Th
0.732 0.008 0.424 Tb
0.716 0.428 0.143 Tb
0.000 0.500 0.500 Tb
0.284 0.572 0.857 Tb
0.231 0.293 0.205 Tb
0.769 0.707 0.795 Tb
0.268 0.992 0.576 Tb
0.500 0.500 0.500 Sm
```

Properties
Crystal system: triclinic
Theoretical density in Mg/m³: 8.97
Total moment in μB/f.u.: 0.000

2 | The following is a DFT calculation (PBE) of a relaxed Tb7SmTh3 crystal.

The structure in POSCAR format:
```
Tb7SmTh3
1.0
8.587 0.000 0.000
0.000 7.094 0.000
0.000 -3.547 6.143
Tb Th Sm
7 3 1
direct
0.113 0.664 0.832 Tb
0.453 0.832 0.664 Tb
0.453 0.832 0.168 Tb
0.113 0.168 0.832 Tb
0.453 0.336 0.168 Tb
0.113 0.168 0.336 Tb
0.110 0.667 0.333 Tb
0.784 0.999 0.499 Th
0.784 0.501 0.499 Th
0.784 0.501 0.001 Th
0.457 0.333 0.667 Sm
```

Properties
Crystal system: trigonal
Theoretical density in Mg/m³: 8.69
Total moment in μB/f.u.: 0.000

Computed stability ranking, most favorable first: 1, 2